#one
DFT (GGA-PBE) results for an optimized crystal structure of Tl2Pd5.

Values from the calculation:
As for the total moment: 0.0 Bohr magnetons per cell.

Geometry as CIF:
```
data_Tl2Pd5
_symmetry_space_group_name_H-M 'C 1 2/c 1'
_symmetry_Int_Tables_number 15
_symmetry_space_group_name_Hall '-C 2yc'
_cell_length_a 13.190
_cell_length_b 4.863
_cell_length_c 7.647
_cell_angle_alpha 90.00
_cell_angle_beta 94.08
_cell_angle_gamma 90.00
loop_
_atom_site_label
_atom_site_type_symbol
_atom_site_fract_x
_atom_site_fract_y
_atom_site_fract_z
Tl1 Tl 0.084 0.195 0.103
Pd1 Pd 0.000 0.310 0.750
Pd2 Pd 0.143 0.313 0.459
Pd3 Pd 0.213 0.182 0.815
```

---

#two
DFT (GGA-PBE) results for an optimized crystal structure of Tl2Pd5.

Values from the calculation:
As for the total moment: 0.0 Bohr magnetons per cell.

Geometry as CIF:
```
data_Tl2Pd5
_symmetry_space_group_name_H-M 'C c c m'
_symmetry_Int_Tables_number 66
_symmetry_space_group_name_Hall '-C 2 2c'
_cell_length_a 6.812
_cell_length_b 12.610
_cell_length_c 5.855
_cell_angle_alpha 90.00
_cell_angle_beta 90.00
_cell_angle_gamma 90.00
loop_
_atom_site_label
_atom_site_type_symbol
_atom_site_fract_x
_atom_site_fract_y
_atom_site_fract_z
Tl1 Tl 0.198 0.106 0.000
Pd1 Pd 0.000 0.268 0.250
Pd2 Pd 0.000 0.500 0.250
Pd3 Pd 0.220 0.121 0.500
```

---

The most stable arrangement is #two, and the next structure is 48 meV per atom less stable.